Entry 1:
A plane-wave DFT calculation with PBE was carried out for a relaxed structure of SrPIr2.

The structure in POSCAR format:
```
SrPIr2
1.0
2.938 0.000 0.000
0.000 3.812 0.000
0.000 0.000 6.620
Sr P Ir
1 1 2
direct
0.500 0.500 0.749
0.000 0.000 0.414
0.000 0.000 0.065
0.500 0.500 0.272
```

Results
Its formation energy is -48.4 meV per atom.



Entry 2:
A plane-wave DFT calculation with PBE was carried out for a relaxed structure of Sr2PIr.

The structure in POSCAR format:
```
Sr2PIr
1.0
8.133 0.000 0.000
0.000 8.133 0.000
4.067 4.067 3.075
Sr Ir P
4 2 2
direct
0.635 0.125 0.250
0.115 0.625 0.250
0.375 0.365 0.750
0.875 0.885 0.750
0.000 0.000 0.000
0.750 0.250 0.500
0.500 0.500 0.000
0.250 0.750 0.500
```

Results
Its formation energy is 58.4 meV per atom.



Entry 3:
A plane-wave DFT calculation with PBE was carried out for a relaxed structure of SrPIr2.

The structure in POSCAR format:
```
SrPIr2
1.0
0.990 -3.232 4.399
-4.438 -0.581 3.278
2.360 -0.889 -4.941
Sr P Ir
1 1 2
direct
0.500 0.000 0.500
0.000 0.500 0.500
0.812 0.812 0.000
0.188 0.188 0.000
```

Results
Its formation energy is 10.3 meV per atom.



Entry 4:
A plane-wave DFT calculation with PBE was carried out for a relaxed structure of SrP2Ir.

The structure in POSCAR format:
```
SrP2Ir
1.0
-2.751 1.419 -4.470
-5.391 0.531 0.457
4.397 1.756 2.672
Ir P Sr
1 2 1
direct
0.250 0.750 0.500
0.000 0.000 0.000
0.750 0.250 0.500
0.500 0.500 0.000
```

Results
Its formation energy is 254.3 meV per atom. The value obtained for the energy relative to the lowest polymorph listed for this composition is 1038.5 meV per atom.



Entry 5:
A plane-wave DFT calculation with PBE was carried out for a relaxed structure of SrPIr2.

The structure in POSCAR format:
```
SrPIr2
1.0
5.463 -2.150 0.001
5.463 2.150 0.001
4.616 0.000 3.627
Sr P Ir
1 1 2
direct
0.253 0.253 0.253
0.453 0.453 0.453
0.059 0.059 0.059
0.735 0.735 0.735
```

Results
Its formation energy is -319.3 meV per atom.



Entry 6:
A plane-wave DFT calculation with PBE was carried out for a relaxed structure of SrPIr2.

The structure in POSCAR format:
```
SrPIr2
1.0
-1.329 2.303 1.329
-2.139 -0.043 -2.064
-4.159 -4.946 4.412
Sr P Ir
1 1 2
direct
0.500 0.500 0.500
0.500 0.500 0.000
0.000 0.000 0.819
0.000 0.000 0.181
```

Results
Its formation energy is -30.1 meV per atom.



Entry 7:
A plane-wave DFT calculation with PBE was carried out for a relaxed structure of Sr2PIr.

The structure in POSCAR format:
```
Sr2PIr
1.0
3.646 0.000 0.000
0.000 4.051 0.000
0.000 0.000 6.441
Sr P Ir
2 1 1
direct
0.000 0.000 0.747
0.000 0.000 0.253
0.500 0.500 0.500
0.500 0.500 0.000
```

Results
Its formation energy is -237.7 meV per atom.



Entry 8:
A plane-wave DFT calculation with PBE was carried out for a relaxed structure of Sr2PIr.

The structure in POSCAR format:
```
Sr2PIr
1.0
8.487 -1.938 0.007
8.487 1.938 0.007
8.042 0.000 3.333
Sr P Ir
2 1 1
direct
0.749 0.749 0.749
0.251 0.251 0.251
0.000 0.000 0.000
0.500 0.500 0.500
```

Results
Its formation energy is -0.3 meV per atom.



Entry 9:
A plane-wave DFT calculation with PBE was carried out for a relaxed structure of Sr2PIr.

The structure in POSCAR format:
```
Sr2PIr
1.0
3.466 0.000 0.000
0.000 3.466 0.000
0.000 0.000 8.851
Sr P Ir
2 1 1
direct
0.000 0.000 0.918
0.500 0.500 0.328
0.500 0.500 0.667
0.000 0.000 0.588
```

Results
Its formation energy is -177.0 meV per atom.



Entry 10:
A plane-wave DFT calculation with PBE was carried out for a relaxed structure of SrPIr2.

The structure in POSCAR format:
```
SrPIr2
1.0
-4.544 -2.212 1.207
-3.975 3.346 -0.015
3.798 -1.128 -3.362
Sr P Ir
1 1 2
direct
0.750 0.250 0.500
0.500 0.500 0.000
0.000 0.000 0.000
0.250 0.750 0.500
```

Results
Its formation energy is 416.3 meV per atom.



Entry 11:
A plane-wave DFT calculation with PBE was carried out for a relaxed structure of SrP2Ir.

The structure in POSCAR format:
```
SrP2Ir
1.0
-1.143 -3.740 0.480
0.472 -2.601 -2.921
5.176 -3.494 1.288
Ir P Sr
1 2 1
direct
0.326 0.326 0.022
0.949 0.949 0.154
0.717 0.717 0.846
0.508 0.508 0.478
```

Results
Its formation energy is -741.6 meV per atom. The value obtained for the energy relative to the lowest polymorph listed for this composition is 42.7 meV per atom.



Entry 12:
A plane-wave DFT calculation with PBE was carried out for a relaxed structure of SrPIr2.

The structure in POSCAR format:
```
SrPIr2
1.0
-2.870 0.541 -1.961
-1.756 -0.992 2.296
-1.278 6.270 3.599
Sr P Ir
1 1 2
direct
0.500 0.500 0.500
0.500 0.500 0.000
0.000 0.828 0.830
0.000 0.172 0.170
```

Results
Its formation energy is -56.2 meV per atom.



- What is the formula in the eighth record?
  Sr2PIr



What did the eighth record say?
A plane-wave DFT calculation with PBE was carried out for a relaxed structure of Sr2PIr.

The structure in POSCAR format:
```
Sr2PIr
1.0
8.487 -1.938 0.007
8.487 1.938 0.007
8.042 0.000 3.333
Sr P Ir
2 1 1
direct
0.749 0.749 0.749
0.251 0.251 0.251
0.000 0.000 0.000
0.500 0.500 0.500
```

Results
Its formation energy is -0.3 meV per atom.